This record from Alexandria describes a crystal of Zn2SeCl2O3 relaxed with PBEsol. The functional is SCAN.

symmetry	P2_1/c
total magnetic moment	0.0	μB per formula unit
energy above the lowest structure with this stoichiometry	0.02	eV/f.u.
D(E_F)	0.00	states/eV/cell
E_form (uncorrected)	-1.24	eV/atom

abc: 7.615 10.269 7.658
angles: 90.00 99.10 90.00
Atoms (fractional coordinates):
Zn 0.087 0.222 0.125
Zn 0.087 0.278 0.625
Zn 0.226 0.511 0.890
Zn 0.226 0.989 0.390
Zn 0.774 0.011 0.610
Zn 0.774 0.489 0.110
Zn 0.913 0.722 0.375
Zn 0.913 0.778 0.875
Se 0.193 0.032 0.813
Se 0.193 0.468 0.313
Se 0.807 0.532 0.687
Se 0.807 0.968 0.187
Cl 0.223 0.719 0.964
Cl 0.223 0.781 0.464
Cl 0.397 0.097 0.231
Cl 0.397 0.403 0.731
Cl 0.603 0.597 0.269
Cl 0.603 0.903 0.769
Cl 0.777 0.219 0.536
Cl 0.777 0.281 0.036
O 0.011 0.049 0.222
O 0.011 0.451 0.722
O 0.125 0.183 0.877
O 0.125 0.317 0.377
O 0.201 0.091 0.603
O 0.201 0.409 0.103
O 0.799 0.591 0.897
O 0.799 0.909 0.397
O 0.875 0.683 0.623
O 0.875 0.817 0.123
O 0.989 0.549 0.278
O 0.989 0.951 0.778